This record from Alexandria describes a relaxed structure of AcHoZnOs. The functional is PBE-GGA.

Cell lengths 7.2465, 7.2465, 7.2465 Å; angles 90.00, 90.00, 90.00 degrees
Closest atoms and distances in Å follow each position.
Space group F-43m (No. 216)
Asymmetric unit:
Ac1 0.0000 0.0000 0.0000 [4 per cell]  4 Os 3.14, 4 Zn 3.14
Ho1 0.0000 0.0000 0.5000 [4 per cell]  4 Os 3.14, 4 Zn 3.14
Zn1 0.2500 0.2500 0.2500 [4 per cell]  4 Ac 3.14, 4 Ho 3.14
Os1 0.2500 0.2500 0.7500 [4 per cell]  4 Ac 3.14, 4 Ho 3.14

Computed properties:
**E**: -5.35 eV per atom
**E_form**: -0.05 eV/atom
**DOS at the Fermi energy**: 17.04 states/eV/cell

This record from Alexandria describes a relaxed structure of ScTlAgCl5. The functional is PBE-GGA.

Cell lengths 8.4536, 12.2476, 9.7667 Å; angles 90.00, 110.40, 90.00 degrees
Closest atoms and distances in Å follow each position.
Space group C2/c (No. 15)
Asymmetric unit:
Sc1 0.0000 0.0000 0.0000 [4 per cell]  6 Cl 2.49-2.55
Tl1 0.0000 0.3399 0.2500 [4 per cell]  7 Cl 3.26-3.54
Ag1 0.0000 0.3123 0.7500 [4 per cell]  4 Cl 2.57-2.61
Cl1 0.0000 0.0587 0.2500 [4 per cell]  2 Sc 2.55
Cl2 0.0950 0.1901 0.5791 [8 per cell]  1 Sc 2.50, 1 Ag 2.57
Cl3 0.1983 0.4478 0.9383 [8 per cell]  1 Sc 2.49, 1 Ag 2.61

Computed properties:
**E**: -4.02 eV per atom
**E_form (uncorrected)**: -1.425 eV per atom
**DOS at the Fermi energy**: 0.00 states/eV/cell

This record from Alexandria describes a relaxed structure of Ta2Ti5Fe2Pt. The functional is PBE-GGA.

Cell lengths 10.2847, 10.2847, 3.0066 Å; angles 90.00, 90.00, 90.00 degrees
Closest atoms and distances in Å follow each position.
Space group P4/mbm (No. 127)
Asymmetric unit:
Ta1 0.1765 0.3235 0.0000 [4 per cell]  1 Fe 2.79, 6 Ti 2.97-3.08, 2 Ta 3.01
Ti1 0.0000 0.5000 0.5000 [2 per cell]  4 Fe 2.43
Ti2 0.0585 0.7920 0.5000 [8 per cell]  2 Fe 2.36
Fe1 0.1316 0.6316 0.0000 [4 per cell]  6 Ti 2.36-2.43
Pt1 0.0000 0.0000 0.0000 [2 per cell]  8 Ti 2.68

Computed properties:
**E**: -8.88 eV per atom
**E_form**: -0.26 eV/atom
**DOS at the Fermi energy**: 18.87 states/eV/cell